No. 1
Computed, not measured: CaCd2Cl after structural relaxation at the PBE level of DFT.

Values from the calculation:
Raw formation energy, eV/atom: -0.789
Polymorph energy (0 for the lowest one), eV per formula unit: 0.00
SG: No. 6
Crystal system: monoclinic

Unit cell a=3.565 b=3.566 c=9.032 alpha=78.53 beta=90.00 gamma=90.00
Positions (direct):
Cd1 0.000 0.064 0.997
Cd2 0.500 0.471 0.182
Ca1 0.500 0.693 0.740
Cl1 0.000 0.272 0.582

No. 2
Computed, not measured: FeTeRu2 after structural relaxation at the PBE level of DFT.

Values from the calculation:
Raw formation energy, eV/atom: 0.766
SG: No. 122
Crystal system: tetragonal

Unit cell a=5.507 b=5.507 c=6.764 alpha=65.98 beta=65.98 gamma=90.00
Positions (direct):
Ru1 0.375 0.429 0.750
Ru2 0.875 0.821 0.750
Ru3 0.571 0.125 0.250
Ru4 0.179 0.625 0.250
Fe1 0.500 0.500 0.000
Fe2 0.250 0.750 0.500
Te1 0.000 0.000 0.000
Te2 0.750 0.250 0.500

No. 3
Computed, not measured: KAc2PuO6 after structural relaxation at the PBE level of DFT.

Values from the calculation:
Raw formation energy, eV/atom: -2.901
SG: No. 146
Crystal system: trigonal

Unit cell a=6.331 b=6.331 c=6.528 alpha=60.99 beta=60.99 gamma=60.00
Positions (direct):
Ac1 0.021 0.021 0.938
Ac2 0.533 0.533 0.402
O1 0.385 0.673 0.780
O2 0.162 0.385 0.780
O3 0.576 0.232 0.227
O4 0.673 0.162 0.780
O5 0.965 0.576 0.227
O6 0.232 0.965 0.227
Pu1 0.320 0.320 0.040
K1 0.795 0.795 0.614

No. 4
Computed, not measured: Sr2GaPd after structural relaxation at the PBE level of DFT.

Values from the calculation:
Formation enthalpy at 0 K, meV per atom: -140
SG: No. 122
Crystal system: tetragonal

Unit cell a=8.369 b=8.369 c=6.939 alpha=52.91 beta=52.91 gamma=90.00
Positions (direct):
Pd1 0.750 0.250 0.500
Pd2 0.000 0.000 0.000
Ga1 0.250 0.750 0.500
Ga2 0.500 0.500 0.000
Sr1 0.875 0.904 0.750
Sr2 0.375 0.346 0.750
Sr3 0.096 0.625 0.250
Sr4 0.654 0.125 0.250

No. 5
Computed, not measured: Pm4CuAgHg2 after structural relaxation at the PBE level of DFT.

Values from the calculation:
Formation enthalpy at 0 K, meV per atom: -332
SG: No. 166
Crystal system: trigonal

Unit cell a=5.291 b=5.291 c=9.162 alpha=73.22 beta=73.22 gamma=60.00
Positions (direct):
Hg1 0.253 0.253 0.242
Hg2 0.747 0.747 0.758
Ag1 0.000 0.000 0.000
Pm1 0.379 0.379 0.864
Pm2 0.872 0.872 0.385
Pm3 0.621 0.621 0.136
Pm4 0.128 0.128 0.615
Cu1 0.500 0.500 0.500

No. 6
Computed, not measured: YMgP2 after structural relaxation at the PBE level of DFT.

Values from the calculation:
Formation enthalpy at 0 K, meV per atom: -41
SG: No. 216
Crystal system: cubic

Unit cell a=4.788 b=4.788 c=4.788 alpha=60.00 beta=60.00 gamma=60.00
Positions (direct):
Y1 0.250 0.250 0.250
P1 0.000 0.000 0.000
P2 0.750 0.750 0.750
Mg1 0.500 0.500 0.500

No. 7
Computed, not measured: La2Zn2Se after structural relaxation at the PBE level of DFT.

Values from the calculation:
Raw formation energy, eV/atom: -0.352
Polymorph energy (0 for the lowest one), eV per formula unit: 1.36
SG: No. 139
Crystal system: tetragonal

Unit cell a=5.649 b=5.649 c=5.649 alpha=116.60 beta=116.60 gamma=96.00
Positions (direct):
La1 0.750 0.250 0.500
La2 0.250 0.750 0.500
Zn1 0.350 0.350 0.000
Zn2 0.650 0.650 0.000
Se1 0.000 0.000 0.000

No. 8
Computed, not measured: NdTh2MoN4 after structural relaxation at the PBE level of DFT.

Values from the calculation:
Raw formation energy, eV/atom: -1.072
SG: No. 63
Crystal system: orthorhombic

Unit cell a=3.532 b=6.352 c=12.068 alpha=90.00 beta=90.00 gamma=106.14
Positions (direct):
N1 0.729 0.459 0.630
N2 0.271 0.541 0.370
N3 0.000 0.000 0.000
N4 0.271 0.541 0.130
N5 0.552 0.105 0.250
N6 0.448 0.895 0.750
N7 0.729 0.459 0.870
N8 0.000 0.000 0.500
Th1 0.367 0.735 0.547
Th2 0.633 0.265 0.047
Th3 0.633 0.265 0.453
Th4 0.367 0.735 0.953
Nd1 0.878 0.755 0.250
Nd2 0.122 0.245 0.750
Mo1 0.857 0.713 0.750
Mo2 0.143 0.287 0.250

No. 9
Computed, not measured: NaPt after structural relaxation at the PBE level of DFT.

Values from the calculation:
Formation enthalpy at 0 K, meV per atom: -140
SG: No. 123
Crystal system: tetragonal

Unit cell a=2.772 b=2.772 c=4.590 alpha=90.00 beta=90.00 gamma=90.00
Positions (direct):
Pt1 0.500 0.500 0.500
Na1 0.000 0.000 0.000

No. 10
Computed, not measured: LaHgH2S after structural relaxation at the PBE level of DFT.

Values from the calculation:
Electronic total energy, eV per atom: -3.562
SG: No. 123
Crystal system: tetragonal

Unit cell a=4.437 b=5.726 c=4.437 alpha=90.00 beta=90.00 gamma=90.00
Positions (direct):
S1 0.000 0.500 0.000
H1 0.000 0.000 0.500
H2 0.500 0.000 0.000
Hg1 0.500 0.500 0.500
La1 0.000 0.000 0.000

No. 11
Computed, not measured: CoRu2Br after structural relaxation at the PBE level of DFT.

Values from the calculation:
Raw formation energy, eV/atom: 0.858
Polymorph energy (0 for the lowest one), eV per formula unit: 1.25
SG: No. 44
Crystal system: orthorhombic

Unit cell a=5.222 b=5.222 c=5.222 alpha=147.74 beta=129.78 gamma=60.96
Positions (direct):
Ru1 0.739 0.239 0.500
Ru2 0.998 0.998 0.000
Br1 0.501 0.501 0.000
Co1 0.262 0.762 0.500

No. 12
Computed, not measured: Pm2EuSn after structural relaxation at the PBE level of DFT.

Values from the calculation:
Polymorph energy (0 for the lowest one), eV per formula unit: 0.51
Formation enthalpy at 0 K, meV per atom: -284
SG: No. 225
Crystal system: cubic

Unit cell a=5.564 b=5.564 c=5.564 alpha=60.00 beta=60.00 gamma=60.00
Positions (direct):
Eu1 0.000 0.000 0.000
Pm1 0.250 0.250 0.250
Pm2 0.750 0.750 0.750
Sn1 0.500 0.500 0.500

No. 13
Computed, not measured: K2LiS8 after structural relaxation at the PBE level of DFT.

Values from the calculation:
Raw formation energy, eV/atom: -0.469
SG: No. 2
Crystal system: triclinic

Unit cell a=14.490 b=9.275 c=10.246 alpha=39.07 beta=22.92 gamma=34.71
Positions (direct):
K1 0.552 0.219 0.023
K2 0.448 0.781 0.977
S1 0.993 0.778 0.360
S2 0.055 0.631 0.992
S3 0.673 0.717 0.401
S4 0.157 0.883 0.579
S5 0.843 0.117 0.421
S6 0.007 0.222 0.640
S7 0.327 0.283 0.599
S8 0.945 0.369 0.008
Li1 0.000 0.000 0.000

No. 14
Computed, not measured: BC5 after structural relaxation at the PBE level of DFT.

Values from the calculation:
Polymorph energy (0 for the lowest one), eV per formula unit: 0.23
Formation enthalpy at 0 K, meV per atom: 247
SG: No. 12
Crystal system: monoclinic

Unit cell a=5.827 b=5.827 c=5.119 alpha=103.06 beta=103.06 gamma=25.27
Positions (direct):
C1 0.592 0.592 0.045
C2 0.337 0.337 0.674
C3 0.913 0.913 0.701
C4 0.670 0.670 0.833
C5 0.252 0.252 0.873
C6 0.658 0.658 0.330
C7 0.580 0.580 0.542
C8 0.336 0.336 0.163
C9 0.914 0.914 0.212
C10 0.998 0.998 0.502
B1 0.000 0.000 0.001
B2 0.250 0.250 0.374

No. 15
Computed, not measured: BaAsN2 after structural relaxation at the PBE level of DFT.

Values from the calculation:
Raw formation energy, eV/atom: 0.186
SG: No. 166
Crystal system: trigonal

Unit cell a=6.672 b=6.672 c=6.672 alpha=37.92 beta=37.92 gamma=37.92
Positions (direct):
N1 0.906 0.906 0.906
N2 0.094 0.094 0.094
As1 0.000 0.000 0.000
Ba1 0.500 0.500 0.500

No. 16
Computed, not measured: Zr2MnPt9 after structural relaxation at the PBE level of DFT.

Values from the calculation:
Formation enthalpy at 0 K, meV per atom: -821
SG: No. 123
Crystal system: tetragonal

Unit cell a=4.021 b=4.021 c=12.022 alpha=90.00 beta=90.00 gamma=90.00
Positions (direct):
Pt1 0.500 0.000 0.837
Pt2 0.500 0.000 0.500
Pt3 0.500 0.000 0.163
Pt4 0.500 0.500 0.332
Pt5 0.000 0.500 0.837
Pt6 0.000 0.500 0.163
Pt7 0.000 0.500 0.500
Pt8 0.500 0.500 0.668
Pt9 0.500 0.500 0.000
Zr1 0.000 0.000 0.673
Zr2 0.000 0.000 0.327
Mn1 0.000 0.000 0.000

No. 17
Computed, not measured: Ac2Rh6C after structural relaxation at the PBE level of DFT.

Values from the calculation:
Formation enthalpy at 0 K, meV per atom: -314
SG: No. 225
Crystal system: cubic

Unit cell a=6.051 b=6.051 c=6.051 alpha=60.00 beta=60.00 gamma=60.00
Positions (direct):
Ac1 0.250 0.250 0.250
Ac2 0.750 0.750 0.750
Rh1 0.248 0.752 0.248
Rh2 0.248 0.248 0.752
Rh3 0.752 0.248 0.752
Rh4 0.248 0.752 0.752
Rh5 0.752 0.248 0.248
Rh6 0.752 0.752 0.248
C1 0.000 0.000 0.000

No. 18
Computed, not measured: Np3UTl4S8 after structural relaxation at the PBE level of DFT.

Values from the calculation:
Raw formation energy, eV/atom: -1.035
SG: No. 166
Crystal system: trigonal

Unit cell a=8.107 b=8.860 c=8.107 alpha=117.24 beta=120.00 gamma=90.00
Positions (direct):
Np1 0.500 0.500 0.500
Np2 0.000 0.500 0.500
Np3 0.500 0.500 0.000
S1 0.229 0.693 0.963
S2 0.269 0.307 0.538
S3 0.731 0.693 0.462
S4 0.734 0.693 0.963
S5 0.771 0.307 0.541
S6 0.229 0.693 0.459
S7 0.266 0.307 0.037
S8 0.771 0.307 0.037
Tl1 0.000 0.000 0.500
Tl2 0.500 0.000 0.000
Tl3 0.500 0.000 0.500
Tl4 0.000 0.000 0.000
U1 0.000 0.500 0.000

No. 19
Computed, not measured: Sr3Hg3Au2 after structural relaxation at the PBE level of DFT.

Values from the calculation:
Formation enthalpy at 0 K, meV per atom: -597
SG: No. 63
Crystal system: orthorhombic

Unit cell a=4.497 b=6.229 c=17.817 alpha=90.00 beta=90.00 gamma=111.16
Positions (direct):
Hg1 0.369 0.739 0.964
Hg2 0.380 0.760 0.250
Hg3 0.620 0.240 0.750
Hg4 0.631 0.261 0.036
Hg5 0.631 0.261 0.464
Hg6 0.369 0.739 0.536
Sr1 0.930 0.860 0.395
Sr2 0.661 0.321 0.250
Sr3 0.930 0.860 0.105
Sr4 0.339 0.679 0.750
Sr5 0.070 0.140 0.895
Sr6 0.070 0.140 0.605
Au1 0.776 0.553 0.882
Au2 0.224 0.447 0.118
Au3 0.776 0.553 0.618
Au4 0.224 0.447 0.382

No. 20
Computed, not measured: Tb2Zn3InAu4 after structural relaxation at the PBE level of DFT.

Values from the calculation:
Formation enthalpy at 0 K, meV per atom: -496
SG: No. 115
Crystal system: tetragonal

Unit cell a=4.182 b=4.182 c=11.829 alpha=90.00 beta=90.00 gamma=90.00
Positions (direct):
In1 0.500 0.500 0.500
Au1 0.000 0.000 0.000
Au2 0.000 0.500 0.345
Au3 0.500 0.500 0.000
Au4 0.500 0.000 0.655
Tb1 0.000 0.500 0.763
Tb2 0.500 0.000 0.237
Zn1 0.500 0.000 0.867
Zn2 0.000 0.000 0.500
Zn3 0.000 0.500 0.133